Here is Ba5B3BrO9 at its PBEsol-relaxed geometry from Alexandria. Energies are from meta-GGA SCAN.

Values from the calculation:
The density comes out at 5.02 Mg/m³. The density of states at the Fermi level is 0.0000 states/eV/atom. As for the magnetization: 0.00 μB/f.u. Its energy relative to the elements, uncorrected is -2.996 eV per atom.

Cell: 10.511 14.846 7.994 Å, 90.00 90.00 90.00°
Space group C222_1 (No. 20)
Unique sites:
Ba: 0.000 0.137 0.250 x4
Ba: 0.000 0.140 0.750 x4
Ba: 0.138 0.369 0.565 x8
Ba: 0.241 0.500 0.000 x4
B: 0.125 0.000 0.000 x4
B: 0.193 0.291 0.970 x8
Br: 0.000 0.447 0.250 x4
O: 0.008 0.000 0.500 x4
O: 0.119 0.352 0.882 x8
O: 0.141 0.208 0.014 x8
O: 0.181 0.188 0.511 x8
O: 0.188 0.000 0.153 x8